Computed, not measured: a PBEsol-optimized structure of BeCuRe2 at the SCAN level of DFT.

The value obtained for the formation energy is 0.094 eV/atom.

The structure belongs to space group F-43m (No. 216); the cell edges are 5.882, 5.882 and 5.882 Å and the angles 90.00°, 90.00° and 90.00°. Symmetry generates all atoms from Be at (0.000, 0.000, 0.000), Cu at (0.250, 0.250, 0.750), Re at (0.000, 0.000, 0.500) and Re at (0.250, 0.250, 0.250).